DFT (PBE with a Hubbard U) results for a relaxed K2ThW3O12 crystal.

## Properties
SG: No. 166
E_tot in eV per atom: -7.37
Density in g/cm3: 5.6
Crystal system: trigonal

Structure (POSCAR):
```
K2ThW3O12
1.0
3.760 2.171 6.432
-3.760 2.171 6.432
0.000 -4.342 6.432
K Th W O
2 1 3 12
Direct
0.163 0.163 0.163 K
0.837 0.837 0.837 K
0.500 0.500 0.500 Th
0.000 0.500 0.500 W
0.500 0.000 0.500 W
0.500 0.500 0.000 W
0.139 0.579 0.579 O
0.202 0.202 0.564 O
0.202 0.564 0.202 O
0.421 0.421 0.861 O
0.421 0.861 0.421 O
0.436 0.798 0.798 O
0.564 0.202 0.202 O
0.579 0.139 0.579 O
0.579 0.579 0.139 O
0.798 0.436 0.798 O
0.798 0.798 0.436 O
0.861 0.421 0.421 O
```